{"formula": "NiAs2S6O12F12", "functional": "PBE+U", "state": "optimized geometry", "magnetic_moment_mub_per_cell": 3.98, "sg": "P2_1/c", "volume_a3_per_atom": 16.8, "dos_at_fermi_per_ev_cell": 0.000, "total_energy_ev_per_cell": -339.351, "lattice_angstrom": [[8.116, 0.000, 0.029], [0.000, 8.942, 0.000], [-0.744, 0.000, 15.297]], "species": ["O", "O", "O", "O", "O", "O", "O", "O", "O", "O", "O", "O", "O", "O", "O", "O", "O", "O", "O", "O", "O", "O", "O", "O", "F", "F", "F", "F", "F", "F", "F", "F", "F", "F", "F", "F", "F", "F", "F", "F", "F", "F", "F", "F", "F", "F", "F", "F", "S", "S", "S", "S", "S", "S", "S", "S", "S", "S", "S", "S", "Ni", "Ni", "As", "As", "As", "As"], "frac_coords": [[0.919, 0.836, 0.085], [0.081, 0.164, 0.915], [0.194, 0.961, 0.226], [0.081, 0.336, 0.415], [0.222, 0.479, 0.570], [0.398, 0.682, 0.422], [0.778, 0.521, 0.430], [0.093, 0.824, 0.930], [0.602, 0.318, 0.578], [0.602, 0.182, 0.078], [0.222, 0.021, 0.070], [0.194, 0.539, 0.726], [0.093, 0.676, 0.430], [0.806, 0.461, 0.274], [0.618, 0.670, 0.605], [0.618, 0.830, 0.105], [0.907, 0.324, 0.570], [0.382, 0.330, 0.395], [0.919, 0.664, 0.585], [0.907, 0.176, 0.070], [0.806, 0.039, 0.774], [0.778, 0.979, 0.930], [0.382, 0.170, 0.895], [0.398, 0.818, 0.922], [0.530, 0.511, 0.833], [0.777, 0.420, 0.756], [0.470, 0.011, 0.667], [0.726, 0.330, 0.909], [0.236, 0.313, 0.194], [0.713, 0.903, 0.459], [0.764, 0.687, 0.806], [0.274, 0.830, 0.591], [0.726, 0.170, 0.409], [0.470, 0.489, 0.167], [0.777, 0.080, 0.256], [0.287, 0.403, 0.041], [0.274, 0.670, 0.091], [0.236, 0.187, 0.694], [0.223, 0.580, 0.244], [0.713, 0.597, 0.959], [0.530, 0.989, 0.333], [0.223, 0.920, 0.744], [0.960, 0.506, 0.882], [0.764, 0.813, 0.306], [0.960, 0.994, 0.382], [0.287, 0.097, 0.541], [0.040, 0.006, 0.618], [0.040, 0.494, 0.118], [0.757, 0.258, 0.092], [0.775, 0.758, 0.118], [0.701, 0.509, 0.341], [0.243, 0.758, 0.408], [0.243, 0.742, 0.908], [0.775, 0.742, 0.618], [0.225, 0.258, 0.382], [0.299, 0.009, 0.159], [0.225, 0.242, 0.882], [0.757, 0.242, 0.592], [0.701, 0.991, 0.841], [0.299, 0.491, 0.659], [0.000, 0.500, 0.500], [0.000, 0.000, 0.000], [0.255, 0.008, 0.642], [0.745, 0.508, 0.858], [0.255, 0.492, 0.142], [0.745, 0.992, 0.358]]}